Record 1
Material: Ac2AgRuO8
Method: DFT, GGA-PBE
State: optimized geometry

Geometry as POSCAR:
```
Ac2AgRuO8
1.0
-2.6853 -2.6224 -2.3226
4.1798 -0.3609 -3.4493
3.0163 -5.7281 3.3195
O Ac Ru Ag
8 2 1 1
Cartesian
1.6857 -7.2912 0.1717 O
2.1515 -3.1986 -0.2474 O
0.3416 -1.2621 -1.2794 O
2.3593 -5.5128 -2.2050 O
5.8606 -5.2402 -1.3905 O
-1.3498 -3.4712 -1.0618 O
4.1693 -7.4493 -1.1730 O
2.8251 -1.4202 -2.6241 O
0.9194 -3.4531 -2.4794 Ac
3.5914 -5.2584 0.0271 Ac
0.0000 0.0000 0.0000 Ru
1.5081 -2.8641 1.6598 Ag
```

Values from the calculation:
Symmetry: P-1
ΔE_f (raw) (eV/atom): -1.683
Density of states at the Fermi level (states/eV/cell): 3.49
Theoretical density (g/cm3): 7.591
Crystal system: triclinic

Record 2
Material: Ac2AgRuO6
Method: DFT, GGA-PBE
State: optimized geometry

Geometry as POSCAR:
```
Ac2AgRuO6
1.0
-2.3309 0.5435 -3.6227
4.4263 -2.2122 -3.1799
-2.2438 -5.4002 0.6335
Ac Ru O Ag
2 1 6 1
Cartesian
2.0843 -1.0760 -1.7903 Ac
-1.2508 -2.6700 0.1164 Ac
-1.4889 0.3472 -2.3140 Ru
0.8399 -3.7476 -1.6639 O
1.2363 -2.5684 -4.8490 O
-1.1368 -1.3824 -3.1442 O
-2.3398 -4.2776 -2.8046 O
-0.4146 0.0967 -0.6444 O
0.0333 -5.4637 -4.5094 O
-0.2889 -3.4843 -3.4182 Ag
```

Values from the calculation:
Symmetry: P4mm
ΔE_f (raw) (eV/atom): -1.851
Density of states at the Fermi level (states/eV/cell): 2.68
Theoretical density (g/cm3): 8.389
Crystal system: tetragonal

Record 3
Material: AcAgSO
Method: DFT, GGA-PBE
State: optimized geometry

Geometry as POSCAR:
```
AcAgSO
1.0
-0.5520 -2.7089 3.1615
3.1575 -2.3510 -1.4631
5.9585 4.7970 5.1507
Ac S O Ag
2 2 2 2
Cartesian
0.5648 -0.6775 2.3076 Ac
6.6964 2.9446 3.6923 Ac
3.8005 1.9274 5.1046 S
3.4608 0.3396 0.8953 S
1.3027 -2.5300 0.8492 O
0.0000 0.0000 0.0000 O
2.9793 2.3985 2.5754 Ag
4.2820 -0.1315 3.4245 Ag
```

Values from the calculation:
Symmetry: P4/nmm
ΔE_f (raw) (eV/atom): -1.979
Theoretical density (g/cm3): 7.819
Crystal system: tetragonal

Record 4
Material: AcAgSO5
Method: DFT, GGA-PBE
State: optimized geometry

Geometry as POSCAR:
```
AcAgSO5
1.0
6.2829 0.7676 -0.2296
-1.0999 6.2333 -0.2296
-2.4536 -3.3143 7.8964
O Ag Ac S
10 2 2 2
Cartesian
2.9251 3.1711 2.4535 O
4.1891 1.9327 0.7629 O
-1.4597 1.7539 6.6743 O
-1.0458 4.9106 1.7445 O
3.3305 0.7730 2.7261 O
1.7771 1.6204 1.0356 O
-0.1957 0.5156 4.9838 O
0.9523 2.0662 6.4017 O
3.7751 -1.2239 5.6927 O
-0.6011 2.9137 4.7112 O
2.0994 0.0167 5.6927 Ag
0.6300 3.6699 1.7445 Ag
-1.2268 -1.6571 3.9482 Ac
0.0000 0.0000 0.0000 Ac
3.0818 1.8548 1.7445 S
-0.3525 1.8319 5.6927 S
```

Values from the calculation:
Symmetry: C2/c
ΔE_f (raw) (eV/atom): -1.833
Density of states at the Fermi level (states/eV/cell): 0.00
Theoretical density (g/cm3): 4.831
Crystal system: monoclinic

Record 5
Material: AcAg2SO6
Method: DFT, GGA-PBE
State: optimized geometry

Geometry as POSCAR:
```
AcAg2SO6
1.0
6.1940 0.0000 0.0000
0.0000 6.0679 0.0000
0.0000 -3.0339 5.2549
Ac O Ag S
1 6 2 1
Cartesian
3.0970 0.0000 0.0000 Ac
1.0100 4.8883 0.6811 O
5.1840 1.8543 4.5739 O
1.0100 1.1796 0.6811 O
5.1840 -1.8543 4.5739 O
5.1840 0.0000 1.3621 O
1.0100 3.0339 3.8928 O
5.7583 0.0000 3.5033 Ag
0.4357 3.0339 1.7516 Ag
0.0000 0.0000 0.0000 S
```

Values from the calculation:
Symmetry: P-3m1
ΔE_f (raw) (eV/atom): -0.949
Density of states at the Fermi level (states/eV/cell): 7.43
Theoretical density (g/cm3): 4.799
Crystal system: trigonal

Record 6
Material: Ac2AgSO8
Method: DFT, GGA-PBE
State: optimized geometry

Geometry as POSCAR:
```
Ac2AgSO8
1.0
5.1819 0.0000 0.0000
-2.5909 4.4876 0.0000
0.0000 0.0000 7.5000
O S Ac Ag
8 1 2 1
Cartesian
0.0000 1.3561 0.9604 O
1.1744 0.6780 6.5396 O
2.5909 3.1315 6.5396 O
0.0000 2.9918 3.6048 O
-1.4165 3.8096 0.9604 O
1.4165 3.8096 0.9604 O
2.5909 1.4959 3.8951 O
4.0075 0.6780 6.5396 O
0.0000 0.0000 0.0000 S
2.5909 1.4959 1.4583 Ac
0.0000 2.9918 6.0416 Ac
0.0000 0.0000 3.7500 Ag
```

Values from the calculation:
Symmetry: P-3m1
ΔE_f (raw) (eV/atom): -1.437
Density of states at the Fermi level (states/eV/cell): 5.78
Theoretical density (g/cm3): 6.874
Crystal system: trigonal

Q: The highest theoretical density belongs to which entry?
A: Ac2AgRuO6